Density functional theory data (PBE) for an optimized crystal structure of Rb3Cd2In2Bi4. Values from VASP.

Geometry as Quantum ESPRESSO input:
```
&SYSTEM
  ibrav = 0, nat = 11, ntyp = 4
/
ATOMIC_SPECIES
Rb 85.47 Rb.upf
Cd 112.41 Cd.upf
In 114.82 In.upf
Bi 208.98 Bi.upf
ATOMIC_POSITIONS crystal
Rb 0.000 0.000 0.000
Rb 0.000 0.000 0.276
Rb 0.000 0.000 0.724
Cd 0.333 0.667 0.139
Cd 0.667 0.333 0.861
In 0.333 0.667 0.554
In 0.667 0.333 0.446
Bi 0.333 0.667 0.401
Bi 0.333 0.667 0.860
Bi 0.667 0.333 0.140
Bi 0.667 0.333 0.599
CELL_PARAMETERS angstrom
5.083 0.000 0.000
-2.542 4.402 0.000
0.000 0.000 20.123
```

Output
As for the density of states at the Fermi level: 0.78 states/eV/cell. The value obtained for the formation energy is -256 meV/atom. As for the total energy: -2.596 eV/atom. The calculated volume is 40.94 Å³/atom. For the magnetization, the calculation gives 0.000 Bohr magnetons per cell. As for the space group: P-3m1, No. 164.